Entry 1:
DFT (PBE) results for crystalline Be2CrIr at its relaxed geometry.

Calculated values
D(E_F) ... 0.75 states/eV/atom
Mass density ... 9442 kg/m3
Formation energy from the elements ... 4.42 kcal/mol of atoms
Size of the total moment ... 0.0 μB/cell

Unit cell a=2.573 b=2.573 c=7.639 alpha=90.00 beta=90.00 gamma=114.18
Fractional coordinates of all 4 atoms:
Be  0.000  0.000  0.011
Be  0.500  0.500  0.240
Cr  0.000  0.000  0.483
Ir  0.500  0.500  0.766

=====

Entry 2:
DFT (PBE) results for crystalline La5Pm2Ho4 at its relaxed geometry.

Calculated values
D(E_F) ... 1.47 states/eV/atom
Mass density ... 7217 kg/m3
Energy above the lowest structure with this stoichiometry ... 0 meV/atom
Formation energy from the elements ... 1.71 kcal/mol of atoms
Size of the total moment ... 0.0 μB/cell

Unit cell a=3.575 b=11.797 c=9.166 alpha=93.75 beta=101.25 gamma=90.00
Fractional coordinates of all 11 atoms:
La  0.500  0.000  0.000
La  0.176  0.072  0.352
Ho  0.967  0.739  0.934
La  0.824  0.928  0.648
La  0.096  0.533  0.191
Ho  0.640  0.799  0.280
Ho  0.360  0.201  0.720
La  0.904  0.467  0.809
Ho  0.033  0.261  0.066
Pm  0.717  0.350  0.433
Pm  0.283  0.650  0.567

=====

Entry 3:
DFT (PBE) results for crystalline Pr3B2Pt9 at its relaxed geometry.

Calculated values
D(E_F) ... 0.32 states/eV/atom
Mass density ... 14743 kg/m3
Formation energy from the elements ... -18.16 kcal/mol of atoms
Size of the total moment ... 0.0 μB/cell

Unit cell a=6.327 b=6.327 c=14.298 alpha=90.00 beta=90.00 gamma=120.00
Fractional coordinates of all 28 atoms:
Pt  0.513  0.487  0.250
Pt  0.974  0.487  0.250
Pt  0.156  0.311  0.919
Pt  0.844  0.689  0.081
B  0.333  0.667  0.860
Pt  0.156  0.844  0.581
Pr  0.000  0.000  0.750
B  0.667  0.333  0.140
B  0.667  0.333  0.360
Pt  0.844  0.689  0.419
Pr  0.333  0.667  0.083
Pt  0.026  0.513  0.750
Pt  0.156  0.844  0.919
Pr  0.667  0.333  0.917
Pt  0.311  0.156  0.419
Pt  0.311  0.156  0.081
Pt  0.487  0.513  0.750
Pr  0.667  0.333  0.583
B  0.333  0.667  0.640
Pr  0.000  0.000  0.250
Pt  0.513  0.026  0.250
Pr  0.333  0.667  0.417
Pt  0.487  0.974  0.750
Pt  0.844  0.156  0.081
Pt  0.156  0.311  0.581
Pt  0.689  0.844  0.581
Pt  0.689  0.844  0.919
Pt  0.844  0.156  0.419